(1)
Be2PIr: relaxed, PBEsol.

Geometry as POSCAR:
```
Be2PIr
1.0
2.3756 -3.9431 0.0000
2.3756 3.9431 0.0000
-1.4034 0.0000 2.4668
Be P Ir
2 1 1
direct
0.0000 0.5000 0.0000
0.5000 0.0000 0.0000
0.0000 0.0000 0.0000
0.5000 0.5000 0.0000
```

energy: -23.764 eV per formula unit
crystal system: monoclinic
formation enthalpy at 0 K: -0.037 eV per atom

---

(2)
PuPt3: relaxed, PBEsol.

Geometry as POSCAR:
```
PuPt3
1.0
4.0836 0.0000 0.0000
0.0000 4.0836 0.0000
0.0000 0.0000 4.0836
Pu Pt
1 3
direct
0.0000 0.0000 0.0000
0.0000 0.5000 0.5000
0.5000 0.0000 0.5000
0.5000 0.5000 0.0000
```

energy: -38.253 eV per formula unit
crystal system: cubic
formation enthalpy at 0 K: -0.552 eV per atom

---

(3)
Cr2SiCl: relaxed, PBEsol.

Geometry as POSCAR:
```
Cr2SiCl
1.0
2.9465 0.0000 0.0000
0.0000 2.9465 0.0000
0.0000 0.0000 6.9684
Cr Si Cl
2 1 1
direct
0.0000 0.0000 0.0000
0.5000 0.5000 0.1973
0.0000 0.0000 0.3781
0.5000 0.5000 0.7782
```

energy: -27.855 eV per formula unit
crystal system: tetragonal
raw formation energy: 9 kJ/mol of atoms
ΔE to the lowest computed polymorph: 0 meV per atom

---

(4)
ScFeGe3: relaxed, PBEsol.

Geometry as POSCAR:
```
ScFeGe3
1.0
4.9419 0.0000 0.0000
0.0000 4.9419 0.0000
0.0000 0.0000 4.9419
Sc Fe Ge
1 1 3
direct
0.0000 0.0000 0.0000
0.5000 0.5000 0.5000
0.0000 0.0000 0.5000
0.0000 0.5000 0.0000
0.5000 0.0000 0.0000
```

energy: -24.878 eV per formula unit
crystal system: cubic
formation enthalpy at 0 K: 1.102 eV per atom

---

(5)
SiTePtRh2: relaxed, PBEsol.

Geometry as POSCAR:
```
SiTePtRh2
1.0
4.7055 0.0000 0.0000
0.0000 4.7055 0.0000
0.0000 0.0000 4.9151
Si Te Pt Rh
1 1 1 2
direct
0.0000 0.0000 0.0000
0.0000 0.0000 0.5000
0.5000 0.5000 0.0000
0.0000 0.5000 0.5000
0.5000 0.0000 0.5000
```

energy: -25.116 eV per formula unit
crystal system: tetragonal
raw formation energy: 143 kJ/mol of atoms

---

(6)
ZrScF2: relaxed, PBEsol.

Geometry as POSCAR:
```
ZrScF2
1.0
1.4803 0.8546 7.5762
-1.4803 0.8546 7.5762
0.0000 -1.7092 7.5762
Zr Sc F
1 1 2
direct
0.0000 0.0000 0.0000
0.5000 0.5000 0.5000
0.1017 0.1017 0.1017
0.8983 0.8983 0.8983
```

energy: -27.625 eV per formula unit
crystal system: trigonal
raw formation energy: -195 kJ/mol of atoms

---

(7)
Ni5Ir: relaxed, PBEsol.

Geometry as POSCAR:
```
Ni5Ir
1.0
4.3358 0.0000 0.0000
-2.1679 3.7549 0.0000
0.0000 0.0000 4.0964
Ni Ir
5 1
direct
0.0000 0.3369 0.0000
0.3333 0.6667 0.5000
0.3369 0.0000 0.0000
0.6631 0.6631 0.0000
0.6667 0.3333 0.5000
0.0000 0.0000 0.5000
```

energy: -40.457 eV per formula unit
crystal system: hexagonal
formation enthalpy at 0 K: 0.026 eV per atom
ΔE to the lowest computed polymorph: 0 meV per atom

---

(8)
LaCdH2Pt: relaxed, PBEsol.

Geometry as POSCAR:
```
LaCdH2Pt
1.0
4.1740 0.0000 0.0000
0.0000 4.1740 0.0000
0.0000 0.0000 5.5386
La Cd H Pt
1 1 2 1
direct
0.0000 0.0000 0.0000
0.5000 0.5000 0.5000
0.0000 0.5000 0.0000
0.5000 0.0000 0.0000
0.0000 0.0000 0.5000
```

energy: -20.148 eV per formula unit
crystal system: tetragonal

---

(9)
Cu2Pt: relaxed, PBEsol.

Geometry as POSCAR:
```
Cu2Pt
1.0
6.3943 0.0000 0.0000
0.0000 2.6970 0.0000
-0.4180 0.0000 8.8389
Cu Pt
8 4
direct
0.0022 0.0000 0.2539
0.3232 0.5000 0.8268
0.3365 0.0000 0.5869
0.3424 0.5000 0.3473
0.6576 0.5000 0.6527
0.6635 0.0000 0.4131
0.6768 0.5000 0.1732
0.9978 0.0000 0.7461
0.0000 0.5000 0.0000
0.0000 0.5000 0.5000
0.3422 0.0000 0.0977
0.6578 0.0000 0.9023
```

energy: -15.903 eV per formula unit
crystal system: monoclinic
formation enthalpy at 0 K: -0.090 eV per atom
ΔE to the lowest computed polymorph: 35 meV per atom

---

(10)
MgZr2Te: relaxed, PBEsol.

Geometry as POSCAR:
```
MgZr2Te
1.0
3.6008 0.0000 0.0000
0.0000 3.6008 0.0000
0.0000 0.0000 6.6494
Mg Zr Te
1 2 1
direct
0.0000 0.0000 0.0000
0.5000 0.5000 0.2619
0.5000 0.5000 0.7381
0.0000 0.0000 0.5000
```

energy: -24.700 eV per formula unit
crystal system: tetragonal
raw formation energy: -31 kJ/mol of atoms
ΔE to the lowest computed polymorph: 0 meV per atom

---

(11)
TcGe3Br: relaxed, PBEsol.

Geometry as POSCAR:
```
TcGe3Br
1.0
4.9427 0.0000 0.0000
0.0000 4.9427 0.0000
0.0000 0.0000 4.9427
Tc Ge Br
1 3 1
direct
0.0000 0.0000 0.0000
0.0000 0.5000 0.5000
0.5000 0.0000 0.5000
0.5000 0.5000 0.0000
0.5000 0.5000 0.5000
```

energy: -19.764 eV per formula unit
crystal system: cubic
raw formation energy: 158 kJ/mol of atoms

---

(12)
MoPb2Br: relaxed, PBEsol.

Geometry as POSCAR:
```
MoPb2Br
1.0
3.2124 0.0000 0.0000
0.0000 3.2124 0.0000
0.0000 0.0000 9.0128
Mo Pb Br
1 2 1
direct
0.0000 0.0000 0.0000
0.0000 0.0000 0.5382
0.5000 0.5000 0.2299
0.5000 0.5000 0.8533
```

energy: -20.197 eV per formula unit
crystal system: tetragonal
raw formation energy: 35 kJ/mol of atoms
ΔE to the lowest computed polymorph: 0 meV per atom